Crystalline Li3Hg5Cl12 at its relaxed geometry. Source: Alexandria via LeMat-Bulk, functional PBE-GGA.

The formation energy without anion corrections comes out at -0.795 eV/atom. The total magnetic moment is 0.00 μB per cell.

It has space group Ia-3d (No. 230), with a = 16.500 Å, b = 16.500 Å, c = 16.500 Å, α = 90.00°, β = 90.00° and γ = 90.00°. Symmetry generates all atoms from Li at (0.000, 0.250, 0.125), Hg at (0.000, 0.000, 0.000), Hg at (0.000, 0.250, 0.375) and Cl at (0.019, 0.061, 0.655).



Crystalline LiHg2Cl5 at its relaxed geometry. Source: Alexandria via LeMat-Bulk, functional PBE-GGA.

The value obtained for the energy relative to the lowest polymorph listed for this composition is 0 meV per atom. The formation energy without anion corrections comes out at -0.861 eV/atom. The total magnetic moment is 0.00 μB per cell.

It has space group P1 (No. 1), with a = 6.667 Å, b = 7.141 Å, c = 7.432 Å, α = 89.14°, β = 64.41° and γ = 63.18°. Symmetry generates all atoms from Li at (0.000, 0.000, 0.000), Hg at (0.378, 0.393, 0.016), Hg at (0.463, 0.016, 0.555), Cl at (0.061, 0.307, 0.933), Cl at (0.103, 0.747, 0.223), Cl at (0.409, 0.728, 0.681), Cl at (0.562, 0.245, 0.346) and Cl at (0.746, 0.057, 0.808).